Record 1
Density functional theory data (GGA-PBEsol) for a relaxed structure of BaMoAs.

Output
Magnetic moment ... 1.509 μB per atom
Electronic total energy ... -16.87 eV/f.u.

```
data_BaMoAs
_chemical_formula_sum 'Ba4 Mo4 As4'
_symmetry_space_group_name_H-M 'F -4 3 m'
_symmetry_Int_Tables_number 216
_symmetry_space_group_name_Hall 'F -4 2 3'
_cell_length_a 7.093
_cell_length_b 7.093
_cell_length_c 7.093
_cell_angle_alpha 90.00
_cell_angle_beta 90.00
_cell_angle_gamma 90.00
loop_
_atom_site_label
_atom_site_type_symbol
_atom_site_fract_x
_atom_site_fract_y
_atom_site_fract_z
Ba1 Ba 0.000 0.000 0.000
Mo1 Mo 0.000 0.000 0.500
As1 As 0.250 0.250 0.250
```

Record 2
Density functional theory data (GGA-PBEsol) for a relaxed structure of TaAg4P.

Output
Magnetic moment ... 0.210 μB per atom
Electronic total energy ... -27.53 eV/f.u.

```
data_TaAg4P
_chemical_formula_sum 'Ta4 Ag16 P4'
_symmetry_space_group_name_H-M 'F -4 3 m'
_symmetry_Int_Tables_number 216
_symmetry_space_group_name_Hall 'F -4 2 3'
_cell_length_a 7.466
_cell_length_b 7.466
_cell_length_c 7.466
_cell_angle_alpha 90.00
_cell_angle_beta 90.00
_cell_angle_gamma 90.00
loop_
_atom_site_label
_atom_site_type_symbol
_atom_site_fract_x
_atom_site_fract_y
_atom_site_fract_z
Ta1 Ta 0.000 0.000 0.000
Ag1 Ag 0.125 0.125 0.375
P1 P 0.250 0.250 0.750
```

Record 3
Density functional theory data (GGA-PBEsol) for a relaxed structure of ScAlPb2.

Output
Magnetic moment ... 0.000 μB per atom
Electronic total energy ... -19.24 eV/f.u.

```
data_ScAlPb2
_chemical_formula_sum 'Sc2 Al2 Pb4'
_symmetry_space_group_name_H-M 'I m m 2'
_symmetry_Int_Tables_number 44
_symmetry_space_group_name_Hall 'I 2 -2'
_cell_length_a 4.280
_cell_length_b 4.310
_cell_length_c 9.972
_cell_angle_alpha 90.00
_cell_angle_beta 90.00
_cell_angle_gamma 90.00
loop_
_atom_site_label
_atom_site_type_symbol
_atom_site_fract_x
_atom_site_fract_y
_atom_site_fract_z
Sc1 Sc 0.000 0.000 0.000
Al1 Al 0.000 0.500 0.749
Pb1 Pb 0.000 0.000 0.499
Pb2 Pb 0.000 0.500 0.250
```

Record 4
Density functional theory data (GGA-PBEsol) for a relaxed structure of FeCu3S8.

Output
Magnetic moment ... 0.000 μB per atom
Distance to the lowest polymorph of the same formula ... 8 meV per atom
Electronic total energy ... -60.53 eV/f.u.
Formation energy without anion corrections ... -0.29 eV per atom

```
data_FeCu3S8
_chemical_formula_sum 'Fe2 Cu6 S16'
_symmetry_space_group_name_H-M 'P 1 21/c 1'
_symmetry_Int_Tables_number 14
_symmetry_space_group_name_Hall '-P 2ybc'
_cell_length_a 5.581
_cell_length_b 5.587
_cell_length_c 12.553
_cell_angle_alpha 90.00
_cell_angle_beta 115.90
_cell_angle_gamma 90.00
loop_
_atom_site_label
_atom_site_type_symbol
_atom_site_fract_x
_atom_site_fract_y
_atom_site_fract_z
Fe1 Fe 0.000 0.000 0.000
Cu1 Cu 0.250 0.002 0.748
Cu2 Cu 0.500 0.000 0.500
S1 S 0.052 0.623 0.951
S2 S 0.088 0.598 0.688
S3 S 0.402 0.105 0.300
S4 S 0.428 0.099 0.050
```

Record 5
Density functional theory data (GGA-PBEsol) for a relaxed structure of NiAs2Pb.

Output
Magnetic moment ... 0.000 μB per atom
Electronic total energy ... -20.19 eV/f.u.

```
data_NiAs2Pb
_chemical_formula_sum 'Ni1 As2 Pb1'
_symmetry_space_group_name_H-M 'P 4/m m m'
_symmetry_Int_Tables_number 123
_symmetry_space_group_name_Hall '-P 4 2'
_cell_length_a 3.074
_cell_length_b 3.074
_cell_length_c 8.028
_cell_angle_alpha 90.00
_cell_angle_beta 90.00
_cell_angle_gamma 90.00
loop_
_atom_site_label
_atom_site_type_symbol
_atom_site_fract_x
_atom_site_fract_y
_atom_site_fract_z
Ni1 Ni 0.000 0.000 0.000
As1 As 0.500 0.500 0.171
Pb1 Pb 0.000 0.000 0.500
```

Record 6
Density functional theory data (GGA-PBEsol) for a relaxed structure of Ca2CrPb.

Output
Magnetic moment ... 1.186 μB per atom
Electronic total energy ... -17.93 eV/f.u.

```
data_Ca2CrPb
_chemical_formula_sum 'Ca2 Cr1 Pb1'
_symmetry_space_group_name_H-M 'P 4/m m m'
_symmetry_Int_Tables_number 123
_symmetry_space_group_name_Hall '-P 4 2'
_cell_length_a 3.827
_cell_length_b 3.827
_cell_length_c 7.455
_cell_angle_alpha 90.00
_cell_angle_beta 90.00
_cell_angle_gamma 90.00
loop_
_atom_site_label
_atom_site_type_symbol
_atom_site_fract_x
_atom_site_fract_y
_atom_site_fract_z
Ca1 Ca 0.000 0.000 0.244
Cr1 Cr 0.500 0.500 0.000
Pb1 Pb 0.500 0.500 0.500
```

Please write out number 6 again, unchanged.
Density functional theory data (GGA-PBEsol) for a relaxed structure of Ca2CrPb.

Output
Magnetic moment ... 1.186 μB per atom
Electronic total energy ... -17.93 eV/f.u.

```
data_Ca2CrPb
_chemical_formula_sum 'Ca2 Cr1 Pb1'
_symmetry_space_group_name_H-M 'P 4/m m m'
_symmetry_Int_Tables_number 123
_symmetry_space_group_name_Hall '-P 4 2'
_cell_length_a 3.827
_cell_length_b 3.827
_cell_length_c 7.455
_cell_angle_alpha 90.00
_cell_angle_beta 90.00
_cell_angle_gamma 90.00
loop_
_atom_site_label
_atom_site_type_symbol
_atom_site_fract_x
_atom_site_fract_y
_atom_site_fract_z
Ca1 Ca 0.000 0.000 0.244
Cr1 Cr 0.500 0.500 0.000
Pb1 Pb 0.500 0.500 0.500
```